# Tb2Sc3In4

A relaxed Tb2Sc3In4 crystal (PBE-GGA, Alexandria via LeMat-Bulk).

Summary:
E = -4.656 eV per atom
formation energy = -0.30 eV per atom

```
Tb2Sc3In4
1.0
3.338 -8.093 0.000
3.338 8.093 0.000
0.000 0.000 8.684
Tb Sc In
4 6 8
direct
0.112 0.888 0.919
0.388 0.612 0.419
0.612 0.388 0.581
0.888 0.112 0.081
0.000 0.000 0.500
0.033 0.467 0.750
0.467 0.033 0.250
0.500 0.500 0.000
0.533 0.967 0.750
0.967 0.533 0.250
0.183 0.817 0.542
0.212 0.288 0.750
0.288 0.212 0.250
0.317 0.683 0.042
0.683 0.317 0.958
0.712 0.788 0.750
0.788 0.712 0.250
0.817 0.183 0.458
```